# LaPm2PrTm2

A geometry-optimized LaPm2PrTm2 structure (PBE, the Alexandria database).

Output
- Formation energy from the elements: 1.0 eV/f.u.
- Mass density: 7.3 g/cm3
- Space-group type: Pnnm (58)
- Crystal system: orthorhombic

Cell lengths 7.066, 16.279, 3.584 Å; angles 90.00, 90.00, 90.00 degrees
Sites, in units of the cell vectors:
La 0.000 0.000 0.000
La 0.500 0.500 0.500
Pm 0.249 0.339 0.000
Pm 0.251 0.839 0.500
Pm 0.749 0.161 0.500
Pm 0.751 0.661 0.000
Pr 0.000 0.500 0.500
Pr 0.500 0.000 0.000
Tm 0.250 0.155 0.500
Tm 0.250 0.655 0.000
Tm 0.750 0.345 0.000
Tm 0.750 0.845 0.500

=====

# Cu3GePd12

A geometry-optimized Cu3GePd12 structure (PBE, the Alexandria database).

Output
- Formation energy from the elements: -2.0 eV/f.u.
- Mass density: 10.8 g/cm3
- Space-group type: P4/mmm (123)
- Crystal system: tetragonal

Cell lengths 3.903, 3.903, 15.578 Å; angles 90.00, 90.00, 90.00 degrees
Sites, in units of the cell vectors:
Cu 0.000 0.000 0.000
Cu 0.000 0.000 0.249
Cu 0.000 0.000 0.751
Ge 0.000 0.000 0.500
Pd 0.000 0.500 0.124
Pd 0.000 0.500 0.374
Pd 0.000 0.500 0.626
Pd 0.000 0.500 0.876
Pd 0.500 0.000 0.124
Pd 0.500 0.000 0.374
Pd 0.500 0.000 0.626
Pd 0.500 0.000 0.876
Pd 0.500 0.500 0.000
Pd 0.500 0.500 0.248
Pd 0.500 0.500 0.500
Pd 0.500 0.500 0.752

=====

# RbURuO6

A geometry-optimized RbURuO6 structure (PBE, the Alexandria database).

Output
- Mass density: 5.7 g/cm3
- Space-group type: Imma (74)
- Crystal system: orthorhombic
- Total DFT energy (no corrections): -139.50 eV for the cell shown

Cell lengths 7.569, 7.569, 7.569 Å; angles 122.68, 117.27, 90.11 degrees
Sites, in units of the cell vectors:
Rb 0.363 0.113 0.250
Rb 0.637 0.887 0.750
U 0.000 0.500 0.500
U 0.500 0.500 0.000
Ru 0.000 0.000 0.500
Ru 0.000 0.500 0.000
O 0.039 0.789 0.250
O 0.051 0.417 0.223
O 0.051 0.828 0.634
O 0.306 0.172 0.723
O 0.306 0.583 0.134
O 0.328 0.578 0.750
O 0.672 0.422 0.250
O 0.694 0.417 0.866
O 0.694 0.828 0.277
O 0.949 0.172 0.366
O 0.949 0.583 0.777
O 0.961 0.211 0.750

=====

# BWS2

A geometry-optimized BWS2 structure (PBE, the Alexandria database).

Output
- Mass density: 7.4 g/cm3
- Space-group type: I-42d (122)
- Crystal system: tetragonal
- Total DFT energy (no corrections): -53.13 eV for the cell shown

Cell lengths 5.686, 5.686, 5.686 Å; angles 126.18, 126.18, 79.59 degrees
Sites, in units of the cell vectors:
B 0.000 0.000 0.000
B 0.750 0.250 0.500
W 0.250 0.750 0.500
W 0.500 0.500 0.000
S 0.057 0.625 0.932
S 0.375 0.307 0.432
S 0.693 0.125 0.068
S 0.875 0.943 0.568

=====

# InW3

A geometry-optimized InW3 structure (PBE, the Alexandria database).

Output
- Formation energy from the elements: 1.9 eV/f.u.
- Mass density: 15.9 g/cm3
- Space-group type: P4/mmm (123)
- Crystal system: tetragonal

Cell lengths 3.374, 3.374, 6.131 Å; angles 90.00, 90.00, 90.00 degrees
Sites, in units of the cell vectors:
In 0.000 0.000 0.000
W 0.000 0.000 0.500
W 0.500 0.500 0.278
W 0.500 0.500 0.722

=====

# NdGe3Ir3

A geometry-optimized NdGe3Ir3 structure (PBE, the Alexandria database).

Output
- ΔE to the lowest computed polymorph: 273 meV/atom
- Formation energy from the elements: -1.1 eV/f.u.
- Mass density: 10.1 g/cm3
- Space-group type: Pm-3n (223)
- Crystal system: cubic

Cell lengths 6.762, 6.762, 6.762 Å; angles 90.00, 90.00, 90.00 degrees
Sites, in units of the cell vectors:
Nd 0.000 0.000 0.000
Nd 0.500 0.500 0.500
Ge 0.000 0.250 0.500
Ge 0.000 0.750 0.500
Ge 0.250 0.500 0.000
Ge 0.500 0.000 0.250
Ge 0.500 0.000 0.750
Ge 0.750 0.500 0.000
Ir 0.000 0.500 0.250
Ir 0.000 0.500 0.750
Ir 0.250 0.000 0.500
Ir 0.500 0.250 0.000
Ir 0.500 0.750 0.000
Ir 0.750 0.000 0.500